No. 1
## VFeC3 (PBE)

Data for a geometry-optimized VFeC3 structure.

Cell lengths 3.694, 3.694, 3.694 Å; angles 90.00, 90.00, 90.00 degrees
Space group Pm-3m (No. 221)
Unique sites:
V (0.000, 0.000, 0.000)
Fe (0.500, 0.500, 0.500)
C (0.000, 0.500, 0.500)

## Properties
As for the formation energy from the elements: 1.77 eV/atom. For the energy above the most stable polymorph in this dataset, the calculation gives 0.00 kJ/mol of atoms.

No. 2
## VFe2C (PBE)

Data for a geometry-optimized VFe2C structure.

Cell lengths 6.329, 6.329, 4.221 Å; angles 90.00, 90.00, 90.00 degrees
Space group I-42d (No. 122)
Unique sites:
V (0.000, 0.000, 0.000)
Fe (0.137, 0.250, 0.625)
C (0.000, 0.000, 0.500)

## Properties
As for the formation energy from the elements: 0.13 eV/atom.

No. 3
## Fe3WC (PBE)

Data for a geometry-optimized Fe3WC structure.

Cell lengths 3.759, 3.759, 3.759 Å; angles 90.00, 90.00, 90.00 degrees
Space group Pm-3m (No. 221)
Unique sites:
Fe (0.000, 0.000, 0.500)
W (0.500, 0.500, 0.500)
C (0.000, 0.000, 0.000)

## Properties
As for the formation energy from the elements: 0.19 eV/atom. For the energy above the most stable polymorph in this dataset, the calculation gives 0.00 kJ/mol of atoms.

No. 4
## FeWC (PBE)

Data for a geometry-optimized FeWC structure.

Cell lengths 5.1082, 5.1082, 12.9745 Å; angles 90.00, 90.00, 120.00 degrees
Space group R3 (No. 146, hexagonal axes)
Unique sites:
Fe (0.0183, 0.6434, 0.0000)
W (0.0044, 0.3342, 0.8340)
C (0.0000, 0.0000, 0.0592)
C (0.0000, 0.0000, 0.5971)
C (0.0000, 0.0000, 0.9417)

## Properties
As for the formation energy from the elements: 0.23 eV/atom.

No. 5
## Fe2W3C (PBE)

Data for a geometry-optimized Fe2W3C structure.

Cell lengths 6.757, 6.757, 6.757 Å; angles 90.00, 90.00, 90.00 degrees
Space group P4_132 (No. 213)
Unique sites:
Fe (0.070, 0.070, 0.070)
W (0.048, 0.875, 0.702)
C (0.125, 0.625, 0.875)

## Properties
As for the formation energy from the elements: 0.03 eV/atom.

No. 6
## Fe21W2C6 (PBE)

Data for a geometry-optimized Fe21W2C6 structure.

Cell lengths 10.486, 10.486, 10.486 Å; angles 90.00, 90.00, 90.00 degrees
Space group Fm-3m (No. 225)
Unique sites:
Fe (0.000, 0.000, 0.000)
Fe (0.000, 0.170, 0.170)
Fe (0.116, 0.116, 0.384)
W (0.250, 0.250, 0.250)
C (0.000, 0.000, 0.279)

## Properties
As for the formation energy from the elements: 0.01 eV/atom.

No. 7
## Fe6W6C (PBE)

Data for a geometry-optimized Fe6W6C structure.

Cell lengths 10.918, 10.918, 10.918 Å; angles 90.00, 90.00, 90.00 degrees
Space group Fd-3m (No. 227, origin choice 2)
Unique sites:
Fe (0.000, 0.000, 0.000)
Fe (0.046, 0.046, 0.204)
W (0.073, 0.375, 0.875)
C (0.125, 0.125, 0.625)

## Properties
As for the formation energy from the elements: -0.06 eV/atom.

No. 8
## Fe3W3C (PBE)

Data for a geometry-optimized Fe3W3C structure.

Cell lengths 11.063, 11.063, 11.063 Å; angles 90.00, 90.00, 90.00 degrees
Space group Fd-3m (No. 227, origin choice 2)
Unique sites:
Fe (0.000, 0.000, 0.000)
Fe (0.048, 0.048, 0.202)
W (0.078, 0.375, 0.875)
C (0.000, 0.000, 0.500)

## Properties
As for the formation energy from the elements: -0.03 eV/atom.

No. 9
## Fe2WC (PBE)

Data for a geometry-optimized Fe2WC structure.

Cell lengths 5.139, 5.139, 7.741 Å; angles 90.00, 90.00, 90.00 degrees
Space group I-42d (No. 122)
Unique sites:
Fe (0.155, 0.250, 0.125)
W (0.000, 0.000, 0.500)
C (0.000, 0.000, 0.000)

## Properties
As for the formation energy from the elements: 0.78 eV/atom.

No. 10
## FeW2C (PBE)

Data for a geometry-optimized FeW2C structure.

Cell lengths 5.044, 5.044, 9.774 Å; angles 90.00, 90.00, 90.00 degrees
Space group I-42d (No. 122)
Unique sites:
Fe (0.000, 0.000, 0.000)
W (0.199, 0.250, 0.625)
C (0.000, 0.000, 0.500)

## Properties
As for the formation energy from the elements: 0.94 eV/atom.

No. 11
## Fe3WC (PBE)

Data for a geometry-optimized Fe3WC structure.

Cell lengths 4.486, 4.486, 4.486 Å; angles 90.00, 90.00, 90.00 degrees
Space group Pm-3m (No. 221)
Unique sites:
Fe (0.000, 0.000, 0.500)
W (0.000, 0.000, 0.000)
C (0.500, 0.500, 0.500)

## Properties
As for the formation energy from the elements: 2.80 eV/atom. For the energy above the most stable polymorph in this dataset, the calculation gives 251.40 kJ/mol of atoms.

No. 12
## Y2Fe17C (PBE)

Data for a geometry-optimized Y2Fe17C structure.

Cell lengths 9.605, 8.615, 6.416 Å; angles 90.00, 98.84, 90.00 degrees
Space group C2/m (No. 12)
Unique sites:
Y (0.160, 0.000, 0.349)
Fe (0.000, 0.214, 0.000)
Fe (0.000, 0.500, 0.500)
Fe (0.097, 0.253, 0.655)
Fe (0.097, 0.500, 0.903)
Fe (0.144, 0.355, 0.290)
Fe (0.157, 0.000, 0.849)
Fe (0.250, 0.250, 0.000)
C (0.000, 0.000, 0.000)

## Properties
As for the formation energy from the elements: -0.04 eV/atom.

no.,uncorrected energy (eV per formula unit)
1,-36.40
2,-34.74
3,-46.61
4,-29.96
5,-64.80
6,-258.63
7,-138.52
8,-73.69
9,-35.98
10,-39.84
11,-33.58
12,-166.80